Entry 1:
DFT (PBE) results for a geometry-optimized YSi3Sn structure.

Geometry as POSCAR:
```
YSi3Sn
1.0
-2.7777 -3.8329 -1.8717
2.8021 0.0443 -4.2492
3.2159 -3.3492 2.0858
Y Si Sn
1 3 1
direct
0.5000 0.5000 0.5000 Y
0.0000 0.5000 0.0000 Si
0.0000 0.0000 0.5000 Si
0.5000 0.0000 0.0000 Si
0.0000 0.0000 0.0000 Sn
```

Fermi-level density of states in states/eV/f.u.: 3.91
Symmetry: No. 221
Total magnetization in μB per cell: 0.00
VASP energy in hartree per atom: -0.1655
Relative energy among the computed polymorphs in eV/atom: 0.0000
Raw formation energy in eV per atom: 0.84

---

Entry 2:
DFT (PBE) results for a geometry-optimized KSrV2Au structure.

Geometry as POSCAR:
```
KSrV2Au
1.0
5.6908 0.0000 0.0000
0.0000 7.0027 0.0000
0.0000 0.0000 5.6908
Sr K Au V
1 1 1 2
direct
0.0000 0.0000 0.0000 Sr
0.0000 0.5000 0.0000 K
0.5000 0.5000 0.5000 Au
0.0000 0.0000 0.5000 V
0.5000 0.0000 0.0000 V
```

Fermi-level density of states in states/eV/f.u.: 9.56
Symmetry: No. 123
Total magnetization in μB per cell: 9.97
VASP energy in hartree per atom: -0.1078
Formation enthalpy at 0 K in kJ/mol of atoms: 185.9

---

Entry 3:
DFT (PBE) results for a geometry-optimized LiTaPd3 structure.

Geometry as POSCAR:
```
LiTaPd3
1.0
-4.1260 2.4951 0.0473
-0.3675 -5.0077 0.2428
2.9245 6.5204 6.7126
Li Ta Pd
2 2 6
direct
0.5066 0.7711 0.5139 Li
0.4934 0.2289 0.4861 Li
0.1559 0.2134 0.8087 Ta
0.8441 0.7866 0.1913 Ta
0.0316 0.3406 0.5607 Pd
0.5545 0.9940 0.8621 Pd
0.1893 0.4063 0.1387 Pd
0.9684 0.6594 0.4393 Pd
0.8107 0.5937 0.8613 Pd
0.4455 0.0060 0.1379 Pd
```

Fermi-level density of states in states/eV/f.u.: 1.81
Symmetry: No. 2
Total magnetization in μB per cell: 0.00
VASP energy in hartree per atom: -0.2282
Relative energy among the computed polymorphs in eV/atom: 0.0000
Formation enthalpy at 0 K in kJ/mol of atoms: -32.7

---

Entry 4:
DFT (PBE) results for a geometry-optimized DyZnPb structure.

Geometry as POSCAR:
```
DyZnPb
1.0
-0.3267 3.8541 -1.1366
-2.1333 -1.3162 -3.8499
-2.4422 0.9087 3.7835
Pb Zn Dy
1 1 1
direct
0.2545 0.3333 0.6667 Pb
0.0475 0.0000 0.0000 Zn
0.6980 0.6667 0.3333 Dy
```

Fermi-level density of states in states/eV/f.u.: 1.08
Symmetry: No. 156
Total magnetization in μB per cell: 0.00
VASP energy in hartree per atom: -0.1288
Formation enthalpy at 0 K in kJ/mol of atoms: -29.8

---

> VASP energy of number 3 (LiTaPd3)?

-0.2282 hartree per atom

---

> Look up the Fermi-level density of states of the fourth one.

1.08 states/eV/f.u.